No. 1
Below is crystalline YHoTaN3 at its relaxed geometry, with properties calculated at the GGA-PBE level.

Summary:
Uncorrected formation energy ... -1.141 eV per atom
Total energy ... -9.12 eV per atom

Unit cell a=7.121 b=3.398 c=7.957 alpha=90.00 beta=90.61 gamma=90.00
Space group P2_1/m (No. 11)
One atom of each set of equivalent atoms:
1 Y 0.144 0.250 0.152 x2
2 Ho 0.394 0.750 0.847 x2
3 Ta 0.127 0.250 0.581 x2
4 N 0.125 0.250 0.838 x2
5 N 0.183 0.750 0.455 x2
6 N 0.379 0.750 0.122 x2

No. 2
Below is crystalline Ho2ZrTaN4 at its relaxed geometry, with properties calculated at the GGA-PBE level.

Summary:
Uncorrected formation energy ... -1.570 eV per atom
Total energy ... -9.43 eV per atom

Unit cell a=5.688 b=3.278 c=5.759 alpha=90.00 beta=109.16 gamma=90.00
Space group P2/m (No. 10)
One atom of each set of equivalent atoms:
1 Ho 0.000 0.000 0.000 x1
2 Ho 0.500 0.500 0.000 x1
3 Zr 0.000 0.500 0.500 x1
4 Ta 0.500 0.000 0.500 x1
5 N 0.251 0.000 0.732 x2
6 N 0.266 0.500 0.273 x2

No. 3
Below is crystalline HoZrTaN3 at its relaxed geometry, with properties calculated at the GGA-PBE level.

Summary:
Uncorrected formation energy ... -1.197 eV per atom
Total energy ... -9.52 eV per atom

Unit cell a=6.769 b=3.190 c=8.157 alpha=90.00 beta=90.70 gamma=90.00
Space group P2_1/m (No. 11)
One atom of each set of equivalent atoms:
1 Ho 0.131 0.250 0.172 x2
2 Zr 0.378 0.750 0.861 x2
3 Ta 0.157 0.250 0.574 x2
4 N 0.144 0.250 0.852 x2
5 N 0.149 0.750 0.408 x2
6 N 0.392 0.750 0.125 x2

No. 4
Below is crystalline HoZr2TaN4 at its relaxed geometry, with properties calculated at the GGA-PBE level.

Summary:
Uncorrected formation energy ... -1.496 eV per atom
Total energy ... -9.85 eV per atom

Unit cell a=5.644 b=3.255 c=5.662 alpha=90.00 beta=109.15 gamma=90.00
Space group P2/m (No. 10)
One atom of each set of equivalent atoms:
1 Ho 0.000 0.000 0.000 x1
2 Zr 0.500 0.000 0.500 x1
3 Zr 0.500 0.500 0.000 x1
4 Ta 0.000 0.500 0.500 x1
5 N 0.240 0.000 0.734 x2
6 N 0.252 0.500 0.265 x2

No. 5
Below is crystalline Ho2Zr3TaN6 at its relaxed geometry, with properties calculated at the GGA-PBE level.

Summary:
Uncorrected formation energy ... -1.580 eV per atom
Total energy ... -9.63 eV per atom

Unit cell a=5.691 b=9.851 c=5.701 alpha=90.00 beta=109.37 gamma=90.00
Space group C2/m (No. 12)
One atom of each set of equivalent atoms:
1 Ho 0.000 0.166 0.000 x4
2 Zr 0.000 0.000 0.500 x2
3 Zr 0.000 0.332 0.500 x4
4 Ta 0.000 0.500 0.000 x2
5 N 0.236 0.500 0.742 x4
6 N 0.243 0.340 0.250 x8

No. 6
Below is crystalline Tb2HoN3 at its relaxed geometry, with properties calculated at the GGA-PBE level.

Summary:
Uncorrected formation energy ... -1.688 eV per atom
Total energy ... -8.16 eV per atom

Unit cell a=6.966 b=4.924 c=10.450 alpha=90.00 beta=90.00 gamma=90.00
Space group Pnma (No. 62)
One atom of each set of equivalent atoms:
1 Tb 0.125 0.250 0.250 x4
2 Tb 0.126 0.250 0.583 x4
3 Ho 0.125 0.250 0.917 x4
4 N 0.123 0.750 0.917 x4
5 N 0.126 0.750 0.250 x4
6 N 0.128 0.750 0.582 x4

No. 7
Below is crystalline TbHoN2 at its relaxed geometry, with properties calculated at the GGA-PBE level.

Summary:
Uncorrected formation energy ... -1.468 eV per atom
Total energy ... -7.93 eV per atom

Unit cell a=3.4127 b=3.4127 c=17.7271 alpha=90.00 beta=90.00 gamma=120.00
Space group R3m (No. 160, hexagonal axes)
One atom of each set of equivalent atoms:
1 Tb 0.0000 0.0000 0.0000 x3
2 Ho 0.0000 0.0000 0.1706 x3
3 N 0.0000 0.0000 0.5842 x3
4 N 0.0000 0.0000 0.7556 x3

No. 8
Below is crystalline TbHo3N at its relaxed geometry, with properties calculated at the GGA-PBE level.

Summary:
Uncorrected formation energy ... -0.519 eV per atom
Total energy ... -5.86 eV per atom

Unit cell a=4.940 b=4.940 c=4.940 alpha=90.00 beta=90.00 gamma=90.00
Space group Pm-3m (No. 221)
One atom of each set of equivalent atoms:
1 Tb 0.000 0.000 0.000 x1
2 Ho 0.000 0.500 0.500 x3
3 N 0.500 0.500 0.500 x1